LiSmMgGa2 | PBE | optimized geometry

abc: 5.702 6.252 5.955
angles: 90.00 90.00 90.00
Atoms (fractional coordinates):
Li 0.000 0.000 0.000
Li 0.500 0.000 0.000
Sm 0.250 0.500 0.248
Sm 0.750 0.500 0.752
Mg 0.250 0.000 0.418
Mg 0.750 0.000 0.582
Ga 0.250 0.291 0.767
Ga 0.250 0.709 0.767
Ga 0.750 0.291 0.233
Ga 0.750 0.709 0.233

Computed properties:
For the density of states at the Fermi level, the calculation gives 7.712 states/eV/cell. The calculation puts the total magnetic moment at 0.0 Bohr magnetons per cell. As for the formation energy from the elements: -0.275 eV/atom.